Material: UTl2GaBr6
Method: DFT, PBE
State: optimized geometry

uncorrected energy = -3.866 eV per atom
space group = C2/m
raw formation energy = -958 meV per atom
calculated density = 5.166 g/cm3
DOS(E_F) = 0.058 states/eV per atom

```
data_UTl2GaBr6
_chemical_formula_sum 'U1 Tl2 Ga1 Br6'
_cell_length_a 8.087
_cell_length_b 8.087
_cell_length_c 8.194
_cell_angle_alpha 119.58
_cell_angle_beta 119.58
_cell_angle_gamma 61.09
_space_group_name_H-M_alt 'P 1'
_space_group_IT_number 1
loop_
_space_group_symop_operation_xyz
'x,y,z'
loop_
_atom_site_label
_atom_site_type_symbol
_atom_site_fract_x
_atom_site_fract_y
_atom_site_fract_z
_atom_site_occupancy
U1 U 0.000 0.000 0.000 1
Tl1 Tl 0.247 0.247 0.784 1
Tl2 Tl 0.753 0.753 0.216 1
Ga1 Ga 0.500 0.500 0.500 1
Br1 Br 0.176 0.684 0.168 1
Br2 Br 0.236 0.236 0.359 1
Br3 Br 0.316 0.824 0.832 1
Br4 Br 0.684 0.176 0.168 1
Br5 Br 0.764 0.764 0.641 1
Br6 Br 0.824 0.316 0.832 1
```

Material: TlVGaBr2
Method: DFT, PBE
State: optimized geometry

uncorrected energy = -2.629 eV per atom
space group = P4/mmm
raw formation energy = 942 meV per atom
calculated density = 4.339 g/cm3
DOS(E_F) = 1.998 states/eV per atom

```
data_TlVGaBr2
_chemical_formula_sum 'Tl1 V1 Ga1 Br2'
_cell_length_a 5.904
_cell_length_b 5.904
_cell_length_c 5.323
_cell_angle_alpha 90.00
_cell_angle_beta 90.00
_cell_angle_gamma 90.00
_space_group_name_H-M_alt 'P 1'
_space_group_IT_number 1
loop_
_space_group_symop_operation_xyz
'x,y,z'
loop_
_atom_site_label
_atom_site_type_symbol
_atom_site_fract_x
_atom_site_fract_y
_atom_site_fract_z
_atom_site_occupancy
Tl1 Tl 0.000 0.000 0.000 1
V1 V 0.500 0.500 0.500 1
Ga1 Ga 0.000 0.000 0.500 1
Br1 Br 0.000 0.500 0.000 1
Br2 Br 0.500 0.000 0.000 1
```

Material: TlGaWBr2
Method: DFT, PBE
State: optimized geometry

uncorrected energy = -3.772 eV per atom
space group = P4/mmm
raw formation energy = 566 meV per atom
calculated density = 7.155 g/cm3
DOS(E_F) = 0.865 states/eV per atom

```
data_TlGaWBr2
_chemical_formula_sum 'Tl1 Ga1 W1 Br2'
_cell_length_a 4.980
_cell_length_b 4.980
_cell_length_c 5.780
_cell_angle_alpha 90.00
_cell_angle_beta 90.00
_cell_angle_gamma 90.00
_space_group_name_H-M_alt 'P 1'
_space_group_IT_number 1
loop_
_space_group_symop_operation_xyz
'x,y,z'
loop_
_atom_site_label
_atom_site_type_symbol
_atom_site_fract_x
_atom_site_fract_y
_atom_site_fract_z
_atom_site_occupancy
Tl1 Tl 0.000 0.000 0.000 1
Ga1 Ga 0.500 0.500 0.000 1
W1 W 0.000 0.000 0.500 1
Br1 Br 0.000 0.500 0.500 1
Br2 Br 0.500 0.000 0.500 1
```

Material: TlZn2GaBr6
Method: DFT, PBE
State: optimized geometry

uncorrected energy = -2.589 eV per atom
space group = C2/c
raw formation energy = -792 meV per atom
calculated density = 4.134 g/cm3
DOS(E_F) = 0.000 states/eV per atom

```
data_TlZn2GaBr6
_chemical_formula_sum 'Tl2 Zn4 Ga2 Br12'
_cell_length_a 10.019
_cell_length_b 10.019
_cell_length_c 7.161
_cell_angle_alpha 96.19
_cell_angle_beta 96.19
_cell_angle_gamma 89.00
_space_group_name_H-M_alt 'P 1'
_space_group_IT_number 1
loop_
_space_group_symop_operation_xyz
'x,y,z'
loop_
_atom_site_label
_atom_site_type_symbol
_atom_site_fract_x
_atom_site_fract_y
_atom_site_fract_z
_atom_site_occupancy
Tl1 Tl 0.105 0.895 0.750 1
Tl2 Tl 0.895 0.105 0.250 1
Zn1 Zn 0.211 0.375 0.722 1
Zn2 Zn 0.375 0.211 0.222 1
Zn3 Zn 0.625 0.789 0.778 1
Zn4 Zn 0.789 0.625 0.278 1
Ga1 Ga 0.288 0.712 0.250 1
Ga2 Ga 0.712 0.288 0.750 1
Br1 Br 0.025 0.220 0.687 1
Br2 Br 0.149 0.589 0.870 1
Br3 Br 0.220 0.025 0.187 1
Br4 Br 0.282 0.411 0.405 1
Br5 Br 0.411 0.282 0.905 1
Br6 Br 0.411 0.851 0.630 1
Br7 Br 0.589 0.149 0.370 1
Br8 Br 0.589 0.718 0.095 1
Br9 Br 0.718 0.589 0.595 1
Br10 Br 0.780 0.975 0.813 1
Br11 Br 0.851 0.411 0.130 1
Br12 Br 0.975 0.780 0.313 1
```

Material: TmGa2Br8
Method: DFT, PBE
State: optimized geometry

uncorrected energy = -3.235 eV per atom
space group = C2/m
raw formation energy = -1062 meV per atom
calculated density = 3.653 g/cm3
DOS(E_F) = 0.418 states/eV per atom

```
data_TmGa2Br8
_chemical_formula_sum 'Tm1 Ga2 Br8'
_cell_length_a 8.230
_cell_length_b 8.230
_cell_length_c 6.774
_cell_angle_alpha 97.05
_cell_angle_beta 97.05
_cell_angle_gamma 71.75
_space_group_name_H-M_alt 'P 1'
_space_group_IT_number 1
loop_
_space_group_symop_operation_xyz
'x,y,z'
loop_
_atom_site_label
_atom_site_type_symbol
_atom_site_fract_x
_atom_site_fract_y
_atom_site_fract_z
_atom_site_occupancy
Tm1 Tm 0.000 0.000 0.000 1
Ga1 Ga 0.192 0.192 0.650 1
Ga2 Ga 0.808 0.808 0.350 1
Br1 Br 0.101 0.717 0.222 1
Br2 Br 0.180 0.180 0.274 1
Br3 Br 0.283 0.899 0.778 1
Br4 Br 0.364 0.364 0.787 1
Br5 Br 0.636 0.636 0.213 1
Br6 Br 0.717 0.101 0.222 1
Br7 Br 0.820 0.820 0.726 1
Br8 Br 0.899 0.283 0.778 1
```

Material: Tm2GaBr
Method: DFT, PBE
State: optimized geometry

uncorrected energy = -4.100 eV per atom
space group = R3m
raw formation energy = -689 meV per atom
calculated density = 7.515 g/cm3
DOS(E_F) = 0.830 states/eV per atom

```
data_Tm2GaBr
_chemical_formula_sum 'Tm2 Ga1 Br1'
_cell_length_a 7.713
_cell_length_b 7.713
_cell_length_c 7.713
_cell_angle_alpha 30.96
_cell_angle_beta 30.96
_cell_angle_gamma 30.96
_space_group_name_H-M_alt 'P 1'
_space_group_IT_number 1
loop_
_space_group_symop_operation_xyz
'x,y,z'
loop_
_atom_site_label
_atom_site_type_symbol
_atom_site_fract_x
_atom_site_fract_y
_atom_site_fract_z
_atom_site_occupancy
Tm1 Tm 0.000 0.000 0.000 1
Tm2 Tm 0.200 0.200 0.200 1
Ga1 Ga 0.601 0.601 0.601 1
Br1 Br 0.429 0.429 0.429 1
```

Material: TmGaBr
Method: DFT, PBE
State: optimized geometry

uncorrected energy = -4.095 eV per atom
space group = C2/m
raw formation energy = -1038 meV per atom
calculated density = 6.213 g/cm3
DOS(E_F) = 0.422 states/eV per atom

```
data_TmGaBr
_chemical_formula_sum 'Tm2 Ga2 Br2'
_cell_length_a 3.999
_cell_length_b 3.999
_cell_length_c 12.531
_cell_angle_alpha 99.65
_cell_angle_beta 99.65
_cell_angle_gamma 60.02
_space_group_name_H-M_alt 'P 1'
_space_group_IT_number 1
loop_
_space_group_symop_operation_xyz
'x,y,z'
loop_
_atom_site_label
_atom_site_type_symbol
_atom_site_fract_x
_atom_site_fract_y
_atom_site_fract_z
_atom_site_occupancy
Tm1 Tm 0.098 0.098 0.303 1
Tm2 Tm 0.902 0.902 0.697 1
Ga1 Ga 0.183 0.183 0.546 1
Ga2 Ga 0.817 0.817 0.454 1
Br1 Br 0.380 0.380 0.159 1
Br2 Br 0.620 0.620 0.841 1
```

Material: TmGa2Br5
Method: DFT, PBE
State: optimized geometry

uncorrected energy = -3.552 eV per atom
space group = Cc
raw formation energy = -1191 meV per atom
calculated density = 4.005 g/cm3
DOS(E_F) = 0.000 states/eV per atom

```
data_TmGa2Br5
_chemical_formula_sum 'Tm2 Ga4 Br10'
_cell_length_a 8.877
_cell_length_b 8.877
_cell_length_c 10.582
_cell_angle_alpha 113.08
_cell_angle_beta 113.08
_cell_angle_gamma 51.43
_space_group_name_H-M_alt 'P 1'
_space_group_IT_number 1
loop_
_space_group_symop_operation_xyz
'x,y,z'
loop_
_atom_site_label
_atom_site_type_symbol
_atom_site_fract_x
_atom_site_fract_y
_atom_site_fract_z
_atom_site_occupancy
Tm1 Tm 0.000 0.000 0.000 1
Tm2 Tm 0.000 0.000 0.500 1
Ga1 Ga 0.348 0.408 0.773 1
Ga2 Ga 0.408 0.348 0.273 1
Ga3 Ga 0.591 0.654 0.729 1
Ga4 Ga 0.654 0.591 0.229 1
Br1 Br 0.033 0.315 0.149 1
Br2 Br 0.139 0.861 0.250 1
Br3 Br 0.233 0.617 0.536 1
Br4 Br 0.315 0.033 0.649 1
Br5 Br 0.384 0.766 0.965 1
Br6 Br 0.617 0.233 0.036 1
Br7 Br 0.684 0.969 0.351 1
Br8 Br 0.766 0.384 0.465 1
Br9 Br 0.861 0.139 0.750 1
Br10 Br 0.969 0.684 0.851 1
```

Material: Tm2GaBr
Method: DFT, PBE
State: optimized geometry

uncorrected energy = -4.118 eV per atom
space group = R-3m
raw formation energy = -707 meV per atom
calculated density = 8.177 g/cm3
DOS(E_F) = 0.357 states/eV per atom

```
data_Tm2GaBr
_chemical_formula_sum 'Tm2 Ga1 Br1'
_cell_length_a 8.764
_cell_length_b 8.764
_cell_length_c 8.764
_cell_angle_alpha 24.15
_cell_angle_beta 24.15
_cell_angle_gamma 24.15
_space_group_name_H-M_alt 'P 1'
_space_group_IT_number 1
loop_
_space_group_symop_operation_xyz
'x,y,z'
loop_
_atom_site_label
_atom_site_type_symbol
_atom_site_fract_x
_atom_site_fract_y
_atom_site_fract_z
_atom_site_occupancy
Tm1 Tm 0.244 0.244 0.244 1
Tm2 Tm 0.756 0.756 0.756 1
Ga1 Ga 0.500 0.500 0.500 1
Br1 Br 0.000 0.000 0.000 1
```

Material: TmGaBr2
Method: DFT, PBE
State: optimized geometry

uncorrected energy = -3.346 eV per atom
space group = R-3m
raw formation energy = -635 meV per atom
calculated density = 5.110 g/cm3
DOS(E_F) = 0.202 states/eV per atom

```
data_TmGaBr2
_chemical_formula_sum 'Tm1 Ga1 Br2'
_cell_length_a 9.904
_cell_length_b 9.904
_cell_length_c 9.904
_cell_angle_alpha 22.94
_cell_angle_beta 22.94
_cell_angle_gamma 22.94
_space_group_name_H-M_alt 'P 1'
_space_group_IT_number 1
loop_
_space_group_symop_operation_xyz
'x,y,z'
loop_
_atom_site_label
_atom_site_type_symbol
_atom_site_fract_x
_atom_site_fract_y
_atom_site_fract_z
_atom_site_occupancy
Tm1 Tm 0.000 0.000 0.000 1
Ga1 Ga 0.500 0.500 0.500 1
Br1 Br 0.094 0.094 0.094 1
Br2 Br 0.906 0.906 0.906 1
```

Material: UGa2Br8
Method: DFT, PBE
State: optimized geometry

uncorrected energy = -3.783 eV per atom
space group = C2/m
raw formation energy = -990 meV per atom
calculated density = 3.626 g/cm3
DOS(E_F) = 0.164 states/eV per atom

```
data_UGa2Br8
_chemical_formula_sum 'U1 Ga2 Br8'
_cell_length_a 8.060
_cell_length_b 8.060
_cell_length_c 9.253
_cell_angle_alpha 118.34
_cell_angle_beta 118.34
_cell_angle_gamma 76.44
_space_group_name_H-M_alt 'P 1'
_space_group_IT_number 1
loop_
_space_group_symop_operation_xyz
'x,y,z'
loop_
_atom_site_label
_atom_site_type_symbol
_atom_site_fract_x
_atom_site_fract_y
_atom_site_fract_z
_atom_site_occupancy
U1 U 0.000 0.000 0.000 1
Ga1 Ga 0.085 0.085 0.665 1
Ga2 Ga 0.915 0.915 0.335 1
Br1 Br 0.154 0.775 0.204 1
Br2 Br 0.225 0.846 0.796 1
Br3 Br 0.260 0.260 0.268 1
Br4 Br 0.311 0.311 0.806 1
Br5 Br 0.689 0.689 0.194 1
Br6 Br 0.740 0.740 0.732 1
Br7 Br 0.775 0.154 0.204 1
Br8 Br 0.846 0.225 0.796 1
```

Material: UGaBr6
Method: DFT, PBE
State: optimized geometry

uncorrected energy = -4.124 eV per atom
space group = C2/m
raw formation energy = -1080 meV per atom
calculated density = 3.970 g/cm3

```
data_UGaBr6
_chemical_formula_sum 'U1 Ga1 Br6'
_cell_length_a 7.414
_cell_length_b 7.414
_cell_length_c 7.261
_cell_angle_alpha 98.04
_cell_angle_beta 98.04
_cell_angle_gamma 120.67
_space_group_name_H-M_alt 'P 1'
_space_group_IT_number 1
loop_
_space_group_symop_operation_xyz
'x,y,z'
loop_
_atom_site_label
_atom_site_type_symbol
_atom_site_fract_x
_atom_site_fract_y
_atom_site_fract_z
_atom_site_occupancy
U1 U 0.000 0.000 0.000 1
Ga1 Ga 0.500 0.500 0.500 1
Br1 Br 0.073 0.364 0.229 1
Br2 Br 0.237 0.237 0.777 1
Br3 Br 0.364 0.073 0.229 1
Br4 Br 0.636 0.927 0.771 1
Br5 Br 0.763 0.763 0.223 1
Br6 Br 0.927 0.636 0.771 1
```